The following is a PBE calculation of a relaxed structure of CdBSeBr2, from the Alexandria database.

Cell lengths 4.640, 4.640, 4.880 Å; angles 90.00, 90.00, 90.00 degrees
Fractional coordinates of all 5 atoms:
Cd: 0.000 0.000 0.000
B: 0.500 0.500 0.500
Se: 0.500 0.500 0.000
Br: 0.000 0.500 0.500
Br: 0.500 0.000 0.500

Calculated values
The formation energy from raw total energies is 406 meV per atom. The energy above the most stable polymorph in this dataset is 0.0 meV/atom. As for the space group: No. 123.



The following is a PBE calculation of a relaxed structure of Ca2Ge6Pd21, from the Alexandria database.

Cell lengths 8.813, 8.813, 8.813 Å; angles 60.00, 60.00, 60.00 degrees
Fractional coordinates of all 29 atoms:
Ca: 0.250 0.250 0.250
Ca: 0.750 0.750 0.750
Ge: 0.233 0.233 0.767
Ge: 0.233 0.767 0.233
Ge: 0.233 0.767 0.767
Ge: 0.767 0.233 0.233
Ge: 0.767 0.233 0.767
Ge: 0.767 0.767 0.233
Pd: 0.117 0.117 0.117
Pd: 0.117 0.117 0.648
Pd: 0.117 0.648 0.117
Pd: 0.155 0.500 0.500
Pd: 0.155 0.500 0.845
Pd: 0.155 0.845 0.500
Pd: 0.352 0.883 0.883
Pd: 0.500 0.155 0.500
Pd: 0.500 0.155 0.845
Pd: 0.500 0.500 0.155
Pd: 0.500 0.500 0.500
Pd: 0.500 0.500 0.845
Pd: 0.500 0.845 0.155
Pd: 0.500 0.845 0.500
Pd: 0.648 0.117 0.117
Pd: 0.845 0.155 0.500
Pd: 0.845 0.500 0.155
Pd: 0.845 0.500 0.500
Pd: 0.883 0.352 0.883
Pd: 0.883 0.883 0.352
Pd: 0.883 0.883 0.883

Calculated values
As for the space group: No. 225.



The following is a PBE calculation of a relaxed structure of Zn3GeRh4, from the Alexandria database.

Cell lengths 12.822, 4.271, 4.271 Å; angles 90.00, 109.38, 90.00 degrees
Fractional coordinates of all 16 atoms:
Zn: 0.000 0.000 0.000
Zn: 0.247 0.000 0.247
Zn: 0.253 0.500 0.753
Zn: 0.500 0.500 0.000
Zn: 0.747 0.500 0.247
Zn: 0.753 0.000 0.753
Ge: 0.000 0.500 0.500
Ge: 0.500 0.000 0.500
Rh: 0.122 0.000 0.622
Rh: 0.122 0.500 0.122
Rh: 0.378 0.000 0.878
Rh: 0.378 0.500 0.378
Rh: 0.622 0.000 0.122
Rh: 0.622 0.500 0.622
Rh: 0.878 0.000 0.378
Rh: 0.878 0.500 0.878

Calculated values
As for the space group: No. 12.



The following is a PBE calculation of a relaxed structure of LaBeGeRh3, from the Alexandria database.

Cell lengths 6.641, 6.641, 5.903 Å; angles 90.00, 90.00, 126.77 degrees
Fractional coordinates of all 12 atoms:
La: 0.230 0.770 0.750
La: 0.770 0.230 0.250
Be: 0.487 0.513 0.750
Be: 0.513 0.487 0.250
Ge: 0.122 0.878 0.250
Ge: 0.878 0.122 0.750
Rh: 0.236 0.236 0.000
Rh: 0.236 0.236 0.500
Rh: 0.322 0.678 0.250
Rh: 0.678 0.322 0.750
Rh: 0.764 0.764 0.000
Rh: 0.764 0.764 0.500

Calculated values
As for the space group: No. 63.



It is found that the calculated volume values, taken in the order of the records, are 105.1; 484.0; 220.7; 208.6 Å³/cell.
It is found that the Fermi-level density of states values, taken in the order of the records, are 1.067; 19.187; 5.584; 5.190 states/eV/cell.
It is found that the DFT total energy values, taken in the order of the records, are -12.39; -155.24; -83.80; -78.14 eV/cell.